No. 1
# Li4Co3Ni3W2O16

A geometry-optimized Li4Co3Ni3W2O16 structure (PBEsol, Alexandria via LeMat-Bulk).

a b c (Å): 5.7378 5.7378 9.2982
angles (deg): 91.03 91.03 59.73
With the nearest neighbours (Å) after each atom.
Element x y z (fractional)
1 Li 0.0000 0.0000 0.0000  4 O 1.77-1.90
2 Li 0.0040 0.0040 0.5000  4 O 1.77-1.93
3 Li 0.3440 0.3440 0.5897  4 O 1.88-1.96
4 Li 0.6749 0.6749 0.0921  4 O 1.92-2.00
5 Co 0.1740 0.6682 0.2805  6 O 1.86-1.99
6 Co 0.6682 0.1740 0.2805  6 O 1.86-1.99
7 Co 0.8373 0.8373 0.7791  6 O 1.85-1.98
8 Ni 0.1747 0.1747 0.2794  6 O 1.90-2.05
9 Ni 0.3443 0.8369 0.7791  6 O 1.88-2.10
10 Ni 0.8369 0.3443 0.7791  6 O 1.88-2.10
11 W 0.3382 0.3382 0.0033  6 O 1.84-2.06
12 W 0.6740 0.6740 0.5032  6 O 1.88-2.00
13 O 0.0018 0.0018 0.1899  1 Li 1.77, 2 Co 1.86, 1 Ni 1.90
14 O 0.0022 0.0022 0.6900  1 Li 1.77, 1 Co 1.85, 2 Ni 1.88
15 O 0.0453 0.4993 0.1534  1 Co 1.88, 1 Li 1.92, 1 Ni 2.01, 1 W 2.02
16 O 0.1672 0.6626 0.9000  1 W 1.88, 1 Li 1.90, 1 Co 1.98, 1 Ni 2.10
17 O 0.1716 0.1716 0.9132  1 W 1.84, 1 Li 1.90
18 O 0.3428 0.3428 0.3790  2 Co 1.86, 1 Ni 1.90, 1 Li 1.96
19 O 0.3444 0.8326 0.4010  1 W 1.88, 1 Li 1.93, 1 Co 1.99, 1 Ni 2.05
20 O 0.4858 0.4858 0.1614  2 Co 1.91, 1 Li 2.00, 1 W 2.06
21 O 0.4993 0.0453 0.1534  1 Co 1.88, 1 Li 1.92, 1 Ni 2.01, 1 W 2.02
22 O 0.5278 0.5278 0.6427  1 Li 1.88, 1 W 1.97, 2 Ni 1.99
23 O 0.5383 0.9721 0.6503  1 Co 1.90, 1 Li 1.93, 1 W 2.00, 1 Ni 2.06
24 O 0.6626 0.1672 0.9000  1 W 1.88, 1 Li 1.90, 1 Co 1.98, 1 Ni 2.10
25 O 0.6777 0.6777 0.8796  1 Co 1.86, 2 Ni 1.89, 1 Li 1.98
26 O 0.8326 0.3444 0.4010  1 W 1.88, 1 Li 1.93, 1 Co 1.99, 1 Ni 2.05
27 O 0.8382 0.8382 0.3914  1 Li 1.92, 1 W 1.95, 2 Co 1.97
28 O 0.9721 0.5383 0.6503  1 Co 1.90, 1 Li 1.93, 1 W 2.00, 1 Ni 2.06

Results
The uncorrected formation energy comes out at -1508 meV per atom. As for the density of states at the Fermi level: 0.232 states/eV/atom. As for the symmetry: Cm. The calculation puts the electronic total energy at -203.38 eV/cell.


No. 2
# Li2TaCoNi

A geometry-optimized Li2TaCoNi structure (PBEsol, Alexandria via LeMat-Bulk).

a b c (Å): 4.0640 4.0640 4.4755
angles (deg): 90.00 90.00 90.00
With the nearest neighbours (Å) after each atom.
Element x y z (fractional)
1 Li 0.0000 0.5000 0.0000  2 Co 2.03
2 Li 0.5000 0.0000 0.0000  2 Co 2.03
3 Ta 0.0000 0.0000 0.5000  2 Co 2.24
4 Co 0.0000 0.0000 0.0000  4 Li 2.03, 2 Ta 2.24
5 Ni 0.5000 0.5000 0.5000  4 Ta 2.87, 8 Li 3.02

Results
As for the density of states at the Fermi level: 0.902 states/eV/atom. As for the symmetry: P4/mmm. The formation energy from the elements comes out at 0.941 eV/atom. The calculation puts the electronic total energy at -25.67 eV/cell.


No. 3
# Li7Co2O6

A geometry-optimized Li7Co2O6 structure (PBEsol, Alexandria via LeMat-Bulk).

a b c (Å): 5.6329 5.6329 5.2311
angles (deg): 93.74 93.74 123.73
With the nearest neighbours (Å) after each atom.
Element x y z (fractional)
1 Li 0.0000 0.0000 0.0000  4 O 1.89-2.06
2 Li 0.2025 0.8072 0.4295  3 O 1.94-2.02
3 Li 0.2280 0.5745 0.0228  4 O 1.93-2.03
4 Li 0.5623 0.8664 0.7461  4 O 1.92-2.04
5 Li 0.5745 0.2280 0.0228  4 O 1.93-2.03
6 Li 0.8072 0.2025 0.4295  3 O 1.94-2.02
7 Li 0.8664 0.5623 0.7461  4 O 1.92-2.04
8 Co 0.2861 0.2861 0.5418  4 O 1.85-2.05
9 Co 0.6789 0.6789 0.2992  4 O 1.86-1.91
10 O 0.1721 0.5253 0.6429  1 Co 1.85, 5 Li 1.94-2.02
11 O 0.3310 0.3310 0.1883  2 Co 1.86-1.90, 3 Li 1.89-1.99
12 O 0.5253 0.1721 0.6429  1 Co 1.85, 5 Li 1.94-2.02
13 O 0.6314 0.9352 0.1154  1 Co 1.91, 5 Li 1.92-2.04
14 O 0.9141 0.9141 0.6037  2 Co 1.88-2.05, 3 Li 2.04-2.06
15 O 0.9352 0.6314 0.1154  1 Co 1.91, 5 Li 1.92-2.04

Results
The uncorrected formation energy comes out at -1535 meV per atom. As for the density of states at the Fermi level: 0.612 states/eV/atom. As for the symmetry: Cm. The calculation puts the electronic total energy at -83.76 eV/cell.